# 1
The following is a DFT calculation (GGA-PBE) of a relaxed structure of Dy4ErCd5.

The structure in POSCAR format:
```
Dy4ErCd5
1.0
-1.4476 -2.1742 2.6678
1.4982 -3.0036 -1.6350
15.5459 2.1904 10.2206
Dy Cd Er
4 5 1
Cartesian
6.2138 0.8755 4.0853
12.4494 1.7541 8.1848
9.3320 1.3149 6.1353
3.0965 0.4363 2.0358
4.6820 -1.9328 3.5779
10.9144 -1.0546 7.6754
1.5528 -2.3737 1.5206
7.7982 -1.4937 5.6267
14.0436 -0.6137 9.7327
0.0000 0.0000 0.0000
```

Calculated values
As for the energy of formation from the pure elements: -7.32 kcal/mol of atoms. Its theoretical density is 8771 kg/m3.


# 2
The following is a DFT calculation (GGA-PBE) of a relaxed structure of DyErCdGe.

The structure in POSCAR format:
```
DyErCdGe
1.0
5.1218 0.0000 0.0000
2.5609 4.4356 0.0000
2.5609 1.4785 4.1819
Ge Dy Cd Er
1 1 1 1
Cartesian
7.6826 4.4356 3.1364
0.0000 0.0000 0.0000
2.5609 1.4785 1.0455
5.1218 2.9570 2.0909
```

Calculated values
As for the energy of formation from the pure elements: -10.57 kcal/mol of atoms. Its theoretical density is 8998 kg/m3.


# 3
The following is a DFT calculation (GGA-PBE) of a relaxed structure of DyErCdHg.

The structure in POSCAR format:
```
DyErCdHg
1.0
5.2543 0.0000 0.0000
2.6271 4.5503 0.0000
2.6271 1.5168 4.2901
Cd Er Dy Hg
1 1 1 1
Cartesian
7.8814 4.5503 3.2176
5.2543 3.0335 2.1450
0.0000 0.0000 0.0000
2.6271 1.5168 1.0725
```

Calculated values
As for the energy of formation from the pure elements: -9.10 kcal/mol of atoms. Its theoretical density is 10406 kg/m3.


# 4
The following is a DFT calculation (GGA-PBE) of a relaxed structure of Dy2ErCdHg4.

The structure in POSCAR format:
```
Dy2ErCdHg4
1.0
-1.8239 -4.6614 -1.1522
-0.1692 -3.6548 3.6051
-8.5823 -0.2214 3.0319
Hg Cd Er Dy
4 1 1 2
Cartesian
-8.4023 -3.2654 3.6135
-4.8910 -7.3827 3.2633
-2.1730 -5.2722 1.8714
-5.6843 -1.1549 2.2215
-5.2877 -4.2688 2.7424
0.0000 0.0000 0.0000
-2.8096 -2.0810 1.4176
-7.7657 -6.4566 4.0673
```

Calculated values
As for the energy of formation from the pure elements: -10.06 kcal/mol of atoms. Its theoretical density is 11879 kg/m3.